Here is an optimized crystal structure of Ac4InAg3 from Alexandria via LeMat-Bulk. Energies are from PBE-GGA.

**V**: 256.7 Å³/f.u.
**Uncorrected energy**: -3.7608 eV/atom
**Density**: 8.708 Mg/m³
**Symmetry**: Fmmm

Unit cell a=5.679 b=5.679 c=8.915 alpha=108.53 beta=108.53 gamma=90.16
Positions (direct):
Ag1 0.251 0.750 0.501
In1 0.500 0.000 0.000
Ac1 0.628 0.627 0.255
Ac2 0.873 0.872 0.745
Ag2 0.000 0.500 0.000
Ac3 0.372 0.373 0.745
Ac4 0.127 0.128 0.255
Ag3 0.749 0.250 0.499


Here is an optimized crystal structure of AcIn12Ag6 from Alexandria via LeMat-Bulk. Energies are from PBE-GGA.

**V**: 477.8 Å³/f.u.
**Uncorrected energy**: -2.8622 eV/atom
**Density**: 7.827 Mg/m³
**Symmetry**: R-3m

Unit cell a=8.172 b=8.172 c=8.172 alpha=104.94 beta=104.94 gamma=104.94
Positions (direct):
Ag1 0.284 0.715 0.284
Ag2 0.285 0.716 0.716
In1 0.602 0.854 0.602
Ag3 0.284 0.284 0.715
In2 0.113 0.887 0.500
In3 0.398 0.146 0.398
In4 0.398 0.398 0.146
In5 0.887 0.500 0.113
Ag4 0.716 0.285 0.716
Ac1 0.000 0.000 0.000
Ag5 0.715 0.284 0.284
In6 0.146 0.398 0.398
In7 0.113 0.500 0.887
In8 0.887 0.113 0.500
In9 0.602 0.602 0.854
In10 0.500 0.887 0.113
In11 0.500 0.113 0.887
In12 0.854 0.602 0.602
Ag6 0.716 0.716 0.285


Here is an optimized crystal structure of Ac3In3Ag2 from Alexandria via LeMat-Bulk. Energies are from PBE-GGA.

**V**: 244.2 Å³/f.u.
**Uncorrected energy**: -3.6832 eV/atom
**Density**: 8.439 Mg/m³
**Symmetry**: Cmcm

Unit cell a=5.007 b=6.325 c=16.797 alpha=90.00 beta=90.00 gamma=113.32
Positions (direct):
Ag1 0.799 0.599 0.899
In1 0.337 0.673 0.250
Ac1 0.371 0.742 0.750
In2 0.615 0.229 0.039
In3 0.385 0.771 0.539
Ac2 0.098 0.197 0.893
Ag2 0.201 0.401 0.399
Ac3 0.098 0.197 0.607
In4 0.615 0.229 0.461
In5 0.663 0.327 0.750
Ag3 0.201 0.401 0.101
Ac4 0.902 0.803 0.393
Ac5 0.902 0.803 0.107
Ac6 0.629 0.258 0.250
Ag4 0.799 0.599 0.601
In6 0.385 0.771 0.961